4
Lattice="-3.269 1.068 1.729 -1.983 -0.962 -3.155 -0.443 -3.570 1.368" Properties=species:S:1:pos:R:3 comment="ZnRe3, relaxed, DFT GGA-PBEsol" ef_ev_per_atom=0.413 spacegroup="Pm-3m (221)" m_tot_mub_per_cell=0.000 pbc="T T T"
Re -0.222 -1.785 0.684
Re -1.635 0.534 0.864
Re -0.991 -0.481 -1.578
Zn -2.848 -1.733 -0.030

4
Lattice="3.965 0.000 0.000 0.000 3.965 0.000 0.000 0.000 4.218" Properties=species:S:1:pos:R:3 comment="MgPAu2, relaxed, DFT GGA-PBEsol" ef_ev_per_atom=-0.179 spacegroup="P4/mmm (123)" m_tot_mub_per_cell=0.000 pbc="T T T"
Mg 1.982 1.982 2.109
Au 0.000 1.982 0.000
Au 1.982 0.000 0.000
P 0.000 0.000 2.109

4
Lattice="-1.314 -2.297 0.348 4.187 -1.570 2.518 -3.166 3.506 2.422" Properties=species:S:1:pos:R:3 comment="CdTc2Mo, relaxed, DFT GGA-PBEsol" ef_ev_per_atom=0.482 spacegroup="C2/m (12)" m_tot_mub_per_cell=0.001 pbc="T T T"
Tc -0.146 -0.181 2.644
Tc -1.583 1.753 1.211
Mo 2.093 -0.785 1.259
Cd -0.657 -1.149 0.174